Compound: SrBePb2
Source: Alexandria
Functional: PBE
Structure: optimized geometry

Geometry as extended XYZ:
```
4
Lattice="4.766 0.000 0.000 0.000 4.698 -0.802 0.000 0.900 5.235" Properties=species:S:1:pos:R:3 pbc="T T T"
Pb 0.000 4.166 -0.381
Pb 2.383 1.817 0.021
Sr 0.000 2.263 2.622
Be 2.383 4.849 3.585
```

## Properties
Total moment in μB/cell: 0.00
Formation energy in eV per atom: 0.0805
Uncorrected energy in eV for the cell shown: -12.503